[1]
VASP calculation (SCAN) on a PBEsol-optimized structure of NbReSe2Br.

Formation energy without anion corrections = 0.941 eV per atom
Volume = 115.3 Å³/cell
Total magnetization = 3.91 μB per formula unit

Structure (CIF):
```
data_NbReSe2Br
_chemical_formula_sum 'Nb1 Re1 Se2 Br1'
_cell_length_a 4.749
_cell_length_b 4.749
_cell_length_c 5.112
_cell_angle_alpha 90.00
_cell_angle_beta 90.00
_cell_angle_gamma 90.00
_space_group_name_H-M_alt 'P 4/m m m'
_space_group_IT_number 123
_space_group_name_Hall '-P 4 2'
loop_
_atom_site_label
_atom_site_type_symbol
_atom_site_fract_x
_atom_site_fract_y
_atom_site_fract_z
Nb1 Nb 0.000 0.000 0.000
Re1 Re 0.500 0.500 0.500
Se1 Se 0.000 0.500 0.500
Br1 Br 0.500 0.500 0.000
```

=====

[2]
VASP calculation (SCAN) on a PBEsol-optimized structure of Cd2AgCl.

Formation energy without anion corrections = -0.259 eV per atom
Volume = 158.9 Å³/cell
Total magnetization = 0.00 μB per formula unit

Structure (CIF):
```
data_Cd2AgCl
_chemical_formula_sum 'Cd4 Ag2 Cl2'
_cell_length_a 4.482
_cell_length_b 4.500
_cell_length_c 7.879
_cell_angle_alpha 90.00
_cell_angle_beta 90.00
_cell_angle_gamma 90.00
_space_group_name_H-M_alt 'C m m m'
_space_group_IT_number 65
_space_group_name_Hall '-C 2 2'
loop_
_atom_site_label
_atom_site_type_symbol
_atom_site_fract_x
_atom_site_fract_y
_atom_site_fract_z
Cd1 Cd 0.000 0.000 0.235
Ag1 Ag 0.000 0.500 0.000
Cl1 Cl 0.000 0.500 0.500
```

=====

[3]
VASP calculation (SCAN) on a PBEsol-optimized structure of MgTaSi2.

Formation energy without anion corrections = 0.132 eV per atom
Volume = 62.6 Å³/cell
Total magnetization = 0.00 μB per formula unit

Structure (CIF):
```
data_MgTaSi2
_chemical_formula_sum 'Mg1 Ta1 Si2'
_cell_length_a 3.624
_cell_length_b 3.844
_cell_length_c 4.492
_cell_angle_alpha 90.00
_cell_angle_beta 90.00
_cell_angle_gamma 90.00
_space_group_name_H-M_alt 'P m m m'
_space_group_IT_number 47
_space_group_name_Hall '-P 2 2'
loop_
_atom_site_label
_atom_site_type_symbol
_atom_site_fract_x
_atom_site_fract_y
_atom_site_fract_z
Mg1 Mg 0.000 0.000 0.000
Ta1 Ta 0.000 0.500 0.500
Si1 Si 0.500 0.000 0.500
Si2 Si 0.500 0.500 0.000
```

=====

[4]
VASP calculation (SCAN) on a PBEsol-optimized structure of BBr.

Formation energy without anion corrections = -0.356 eV per atom
Volume = 939.0 Å³/cell
Total magnetization = 0.00 μB per formula unit

Structure (CIF):
```
data_BBr
_chemical_formula_sum 'B18 Br18'
_cell_length_a 9.797
_cell_length_b 9.810
_cell_length_c 9.832
_cell_angle_alpha 86.25
_cell_angle_beta 86.30
_cell_angle_gamma 86.21
_space_group_name_H-M_alt 'P 1'
_space_group_IT_number 1
_space_group_name_Hall 'P 1'
loop_
_atom_site_label
_atom_site_type_symbol
_atom_site_fract_x
_atom_site_fract_y
_atom_site_fract_z
B1 B 0.000 0.000 0.000
B2 B 0.001 0.864 0.135
B3 B 0.039 0.829 0.964
B4 B 0.210 0.421 0.551
B5 B 0.246 0.249 0.519
B6 B 0.251 0.383 0.382
B7 B 0.359 0.361 0.630
B8 B 0.363 0.494 0.493
B9 B 0.384 0.245 0.386
B10 B 0.416 0.208 0.558
B11 B 0.423 0.415 0.345
B12 B 0.496 0.357 0.498
B13 B 0.753 0.887 0.024
B14 B 0.828 0.039 0.966
B15 B 0.830 0.828 0.175
B16 B 0.865 0.999 0.136
B17 B 0.888 0.888 0.889
B18 B 0.889 0.752 0.024
Br1 Br 0.048 0.507 0.628
Br2 Br 0.110 0.119 0.555
Br3 Br 0.120 0.419 0.246
Br4 Br 0.133 0.134 0.964
Br5 Br 0.135 0.828 0.268
Br6 Br 0.201 0.748 0.883
Br7 Br 0.378 0.385 0.820
Br8 Br 0.387 0.684 0.513
Br9 Br 0.420 0.109 0.255
Br10 Br 0.494 0.047 0.642
Br11 Br 0.508 0.492 0.184
Br12 Br 0.562 0.865 0.004
Br13 Br 0.686 0.376 0.521
Br14 Br 0.746 0.200 0.886
Br15 Br 0.750 0.747 0.336
Br16 Br 0.829 0.132 0.269
Br17 Br 0.865 0.867 0.699
Br18 Br 0.868 0.562 0.002
```

=====

[5]
VASP calculation (SCAN) on a PBEsol-optimized structure of SrBeRe.

E_form = 0.56 eV/atom
Volume = 110.8 Å³/cell
Total magnetization = 0.00 μB per formula unit

Structure (CIF):
```
data_SrBeRe
_chemical_formula_sum 'Sr2 Be2 Re2'
_cell_length_a 3.207
_cell_length_b 3.207
_cell_length_c 10.778
_cell_angle_alpha 90.00
_cell_angle_beta 90.00
_cell_angle_gamma 90.00
_space_group_name_H-M_alt 'I 4 m m'
_space_group_IT_number 107
_space_group_name_Hall 'I 4 -2'
loop_
_atom_site_label
_atom_site_type_symbol
_atom_site_fract_x
_atom_site_fract_y
_atom_site_fract_z
Sr1 Sr 0.000 0.000 0.000
Be1 Be 0.000 0.000 0.262
Re1 Re 0.000 0.000 0.718
```

=====

[6]
VASP calculation (SCAN) on a PBEsol-optimized structure of HfPd5.

E_form = -0.67 eV/atom
Volume = 181.6 Å³/cell
Total magnetization = 0.00 μB per formula unit

Structure (CIF):
```
data_HfPd5
_chemical_formula_sum 'Hf2 Pd10'
_cell_length_a 3.952
_cell_length_b 11.636
_cell_length_c 3.950
_cell_angle_alpha 90.00
_cell_angle_beta 90.00
_cell_angle_gamma 90.00
_space_group_name_H-M_alt 'C m m m'
_space_group_IT_number 65
_space_group_name_Hall '-C 2 2'
loop_
_atom_site_label
_atom_site_type_symbol
_atom_site_fract_x
_atom_site_fract_y
_atom_site_fract_z
Hf1 Hf 0.000 0.000 0.000
Pd1 Pd 0.000 0.167 0.500
Pd2 Pd 0.000 0.336 0.000
Pd3 Pd 0.000 0.500 0.500
```

=====

[7]
VASP calculation (SCAN) on a PBEsol-optimized structure of GaIrSeBr2.

Formation energy without anion corrections = 0.967 eV per atom
Volume = 117.7 Å³/cell
Total magnetization = 2.86 μB per formula unit

Structure (CIF):
```
data_GaIrSeBr2
_chemical_formula_sum 'Ga1 Ir1 Se1 Br2'
_cell_length_a 4.847
_cell_length_b 4.847
_cell_length_c 5.011
_cell_angle_alpha 90.00
_cell_angle_beta 90.00
_cell_angle_gamma 90.00
_space_group_name_H-M_alt 'P 4/m m m'
_space_group_IT_number 123
_space_group_name_Hall '-P 4 2'
loop_
_atom_site_label
_atom_site_type_symbol
_atom_site_fract_x
_atom_site_fract_y
_atom_site_fract_z
Ga1 Ga 0.000 0.000 0.000
Ir1 Ir 0.500 0.500 0.500
Se1 Se 0.000 0.000 0.500
Br1 Br 0.000 0.500 0.000
```

=====

[8]
VASP calculation (SCAN) on a PBEsol-optimized structure of MnSi4Tc.

Formation energy without anion corrections = 0.351 eV per atom
Volume = 304.0 Å³/cell
Total magnetization = 2.97 μB per formula unit

Structure (CIF):
```
data_MnSi4Tc
_chemical_formula_sum 'Mn4 Si16 Tc4'
_cell_length_a 6.724
_cell_length_b 6.724
_cell_length_c 6.724
_cell_angle_alpha 90.00
_cell_angle_beta 90.00
_cell_angle_gamma 90.00
_space_group_name_H-M_alt 'F -4 3 m'
_space_group_IT_number 216
_space_group_name_Hall 'F -4 2 3'
loop_
_atom_site_label
_atom_site_type_symbol
_atom_site_fract_x
_atom_site_fract_y
_atom_site_fract_z
Mn1 Mn 0.000 0.000 0.000
Si1 Si 0.125 0.125 0.625
Tc1 Tc 0.250 0.250 0.250
```

=====

[9]
VASP calculation (SCAN) on a PBEsol-optimized structure of CsTiZnOF5.

Formation energy without anion corrections = -3.114 eV per atom
Volume = 553.4 Å³/cell
Total magnetization = 0.00 μB per formula unit

Structure (CIF):
```
data_CsTiZnOF5
_chemical_formula_sum 'Cs4 Ti4 Zn4 O4 F20'
_cell_length_a 7.232
_cell_length_b 7.310
_cell_length_c 10.468
_cell_angle_alpha 90.00
_cell_angle_beta 90.00
_cell_angle_gamma 90.00
_space_group_name_H-M_alt 'I m m a'
_space_group_IT_number 74
_space_group_name_Hall '-I 2b 2'
loop_
_atom_site_label
_atom_site_type_symbol
_atom_site_fract_x
_atom_site_fract_y
_atom_site_fract_z
Cs1 Cs 0.000 0.250 0.115
Ti1 Ti 0.250 0.250 0.750
Zn1 Zn 0.000 0.000 0.500
O1 O 0.000 0.250 0.788
F1 F 0.000 0.250 0.426
F2 F 0.213 0.062 0.623
```

=====

[10]
VASP calculation (SCAN) on a PBEsol-optimized structure of Ca4Y.

E_form = 0.62 eV/atom
Volume = 470.0 Å³/cell
Total magnetization = 2.07 μB per formula unit

Structure (CIF):
```
data_Ca4Y
_chemical_formula_sum 'Ca8 Y2'
_cell_length_a 7.775
_cell_length_b 7.775
_cell_length_c 7.775
_cell_angle_alpha 90.00
_cell_angle_beta 90.00
_cell_angle_gamma 90.00
_space_group_name_H-M_alt 'I m -3 m'
_space_group_IT_number 229
_space_group_name_Hall '-I 4 2 3'
loop_
_atom_site_label
_atom_site_type_symbol
_atom_site_fract_x
_atom_site_fract_y
_atom_site_fract_z
Ca1 Ca 0.250 0.250 0.250
Y1 Y 0.000 0.000 0.000
```